Record 1
VASP calculation (PBE-GGA) on a relaxed structure of Te2SeCl.

Cell: 3.6527 3.6527 8.1989 Å, 90.00 90.00 90.00°
Space group P4mm (No. 99)
Symmetry-distinct sites (fractional):
Te (0.0000, 0.0000, 0.0000) x1
Te (0.5000, 0.5000, 0.3021) x1
Se (0.5000, 0.5000, 0.8481) x1
Cl (0.0000, 0.0000, 0.5065) x1

Properties
As for the magnetization: 0.00 μB per formula unit. As for the volume: 27.35 Å³ per atom. For the energy, the calculation gives -2.63 eV per atom. Its polymorph energy (0 for the lowest one) is 160.8 kJ/mol of formula units. The value obtained for the uncorrected formation energy is 0.269 eV/atom.



Record 2
VASP calculation (PBE-GGA) on a relaxed structure of VTeRu.

Cell: 3.7325 5.4650 6.2901 Å, 66.47 77.06 79.05°
Space group P-1 (No. 2)
Symmetry-distinct sites (fractional):
V (0.0807, 0.1921, 0.2401) x2
Te (0.2834, 0.7014, 0.1520) x2
Ru (0.4369, 0.7590, 0.5324) x2

Properties
As for the magnetization: 0.00 μB per formula unit. As for the volume: 18.99 Å³ per atom. For the energy, the calculation gives -7.17 eV per atom. Its polymorph energy (0 for the lowest one) is 63.4 kJ/mol of formula units. The value obtained for the uncorrected formation energy is 0.013 eV/atom.



Record 3
VASP calculation (PBE-GGA) on a relaxed structure of Hg2SeBr.

Cell: 7.3679 7.3679 7.3679 Å, 90.00 90.00 90.00°
Space group F-43m (No. 216)
Symmetry-distinct sites (fractional):
Hg (0.0000, 0.0000, 0.0000) x4
Hg (0.2500, 0.2500, 0.2500) x4
Se (0.0000, 0.0000, 0.5000) x4
Br (0.2500, 0.2500, 0.7500) x4

Properties
As for the magnetization: 0.00 μB per formula unit. As for the volume: 25.00 Å³ per atom. For the energy, the calculation gives -1.15 eV per atom. Its polymorph energy (0 for the lowest one) is 210.2 kJ/mol of formula units. The value obtained for the uncorrected formation energy is 0.290 eV/atom.



Record 4
VASP calculation (PBE-GGA) on a relaxed structure of MgBeRhO4.

Cell: 5.6822 5.7481 8.1766 Å, 90.00 90.00 90.00°
Space group Imma (No. 74)
Symmetry-distinct sites (fractional):
Mg (0.0000, 0.0000, 0.0000) x4
Be (0.0000, 0.2500, 0.3965) x4
Rh (0.2500, 0.2500, 0.7500) x4
O (0.0000, 0.0065, 0.2569) x8
O (0.2439, 0.2500, 0.5015) x8

Properties
As for the magnetization: 0.75 μB per formula unit. As for the volume: 9.54 Å³ per atom. For the energy, the calculation gives -6.39 eV per atom. The value obtained for the uncorrected formation energy is -1.742 eV/atom.



Record 5
VASP calculation (PBE-GGA) on a relaxed structure of ZrPa2Tc.

Cell: 4.7674 4.7674 13.5662 Å, 90.00 90.00 120.00°
Space group R-3m (No. 166, hexagonal axes)
Symmetry-distinct sites (fractional):
Zr (0.0000, 0.0000, 0.0000) x3
Pa (0.0000, 0.0000, 0.2459) x6
Tc (0.0000, 0.0000, 0.5000) x3

Properties
As for the magnetization: 0.00 μB per formula unit. As for the volume: 22.25 Å³ per atom. For the energy, the calculation gives -9.36 eV per atom. Its polymorph energy (0 for the lowest one) is 19.4 kJ/mol of formula units. Its formation energy is 0.1149 eV/atom.



Record 6
VASP calculation (PBE-GGA) on a relaxed structure of Te3C5.

Cell: 5.8344 17.9852 8.0590 Å, 90.00 111.15 90.00°
Space group Cm (No. 8)
Symmetry-distinct sites (fractional):
Te (0.0000, 0.0000, 0.0000) x2
Te (0.1141, 0.4128, 0.2290) x4
Te (0.2282, 0.0000, 0.4581) x2
Te (0.4955, 0.3190, 0.9892) x4
C (0.1268, 0.1599, 0.2545) x4
C (0.1978, 0.1244, 0.3976) x4
C (0.2583, 0.4649, 0.5182) x4
C (0.3478, 0.0000, 0.2270) x2
C (0.3784, 0.5000, 0.2270) x2
C (0.4702, 0.0352, 0.9399) x4

Properties
As for the magnetization: 0.00 μB per formula unit. As for the volume: 24.65 Å³ per atom. For the energy, the calculation gives -5.34 eV per atom. Its polymorph energy (0 for the lowest one) is 250.0 kJ/mol of formula units. The value obtained for the uncorrected formation energy is 1.603 eV/atom.